CsTlP3 | GGA-PBE | optimized geometry

Properties
* ΔE to the lowest computed polymorph: 0 kJ/mol of formula units
* total moment: 0.009 Bohr magnetons per cell
* V: 153.5 Å³/cell
* calculated total energy: -3.001 eV per atom
* energy of formation from the pure elements: 889 meV per atom

Unit cell a=5.3540 b=5.3540 c=5.3540 alpha=90.00 beta=90.00 gamma=90.00
With the nearest neighbours (Å) after each atom.
Space group Pm-3m (No. 221)
Asymmetric unit:
Cs  0.0000  0.0000  0.0000 [1 per cell]  12 P 3.79
Tl  0.5000  0.5000  0.5000 [1 per cell]  6 P 2.68
P  0.0000  0.5000  0.5000 [3 per cell]  2 Tl 2.68